Below is BaIr2Se after structural relaxation, with properties calculated at the PBE level.

The space group is P4/mmm (No. 123) and the conventional cell measures 3.1898, 3.1898 and 8.0294 Å, with angles of 90.00, 90.00 and 90.00 degrees. The asymmetric unit holds Ba at (0.0000, 0.0000, 0.0000), Ir at (0.5000, 0.5000, 0.3139) and Se at (0.0000, 0.0000, 0.5000).

The raw formation energy comes out at 0.44 eV per atom. For the density of states at the Fermi level, the calculation gives 0.481 states/eV per atom.

Below is BaIrSe2 after structural relaxation, with properties calculated at the PBE level.

The space group is Pm (No. 6) and the conventional cell measures 4.8060, 4.7346 and 4.8475 Å, with angles of 90.00, 91.91 and 90.00 degrees. The asymmetric unit holds Ba at (0.0000, 0.0000, 0.0000), Ir at (0.4160, 0.5000, 0.6296), Se at (0.5004, 0.0000, 0.5121) and Se at (0.9262, 0.5000, 0.4787).

The raw formation energy comes out at -0.71 eV per atom. The value obtained for the energy above the most stable polymorph in this dataset is 0.137 eV per atom. For the density of states at the Fermi level, the calculation gives 0.705 states/eV per atom.

Below is Ba2IrSe after structural relaxation, with properties calculated at the PBE level.

The space group is Imm2 (No. 44) and the conventional cell measures 4.4097, 4.6053 and 16.5700 Å, with angles of 90.00, 90.00 and 90.00 degrees. The asymmetric unit holds Ba at (0.0000, 0.0000, 0.0000), Ba at (0.0000, 0.5000, 0.2175), Ir at (0.0000, 0.5000, 0.6302) and Se at (0.0000, 0.0000, 0.5763).

The raw formation energy comes out at -0.61 eV per atom. For the density of states at the Fermi level, the calculation gives 0.821 states/eV per atom.

Below is Ba2IrSe after structural relaxation, with properties calculated at the PBE level.

The space group is Cm (No. 8) and the conventional cell measures 11.8154, 4.3612 and 4.9979 Å, with angles of 90.00, 95.23 and 90.00 degrees. The asymmetric unit holds Ba at (0.0000, 0.0000, 0.0000), Ba at (0.2394, 0.5000, 0.5163), Ir at (0.4487, 0.0000, 0.4327) and Se at (0.2832, 0.0000, 0.0483).

The raw formation energy comes out at -0.67 eV per atom. For the density of states at the Fermi level, the calculation gives 0.019 states/eV per atom.

Below is BaIrSe2 after structural relaxation, with properties calculated at the PBE level.

The space group is Immm (No. 71) and the conventional cell measures 3.8833, 6.2361 and 8.5922 Å, with angles of 90.00, 90.00 and 90.00 degrees. The asymmetric unit holds Ba at (0.0000, 0.0000, 0.0000), Ir at (0.0000, 0.0000, 0.5000) and Se at (0.0000, 0.5000, 0.1782).

The raw formation energy comes out at -0.84 eV per atom. The value obtained for the energy above the most stable polymorph in this dataset is 0.000 eV per atom. For the density of states at the Fermi level, the calculation gives 0.682 states/eV per atom.

Below is BaIr2Se after structural relaxation, with properties calculated at the PBE level.

The space group is I4_1/amd (No. 141, origin choice 2) and the conventional cell measures 5.1386, 5.1386 and 16.4485 Å, with angles of 90.00, 90.00 and 90.00 degrees. The asymmetric unit holds Ba at (0.0000, 0.2500, 0.3750), Ir at (0.0000, 0.0000, 0.0000) and Se at (0.0000, 0.2500, 0.8750).

The raw formation energy comes out at -0.24 eV per atom. For the density of states at the Fermi level, the calculation gives 0.938 states/eV per atom.

Below is BaIr2Se after structural relaxation, with properties calculated at the PBE level.

The space group is I-4m2 (No. 119) and the conventional cell measures 4.3038, 4.3038 and 9.1356 Å, with angles of 90.00, 90.00 and 90.00 degrees. The asymmetric unit holds Ba at (0.0000, 0.0000, 0.0000), Ir at (0.0000, 0.0000, 0.5000), Ir at (0.0000, 0.5000, 0.7500) and Se at (0.0000, 0.5000, 0.2500).

The raw formation energy comes out at 0.67 eV per atom. For the density of states at the Fermi level, the calculation gives 1.020 states/eV per atom.

Below is BaIrSe2 after structural relaxation, with properties calculated at the PBE level.

The space group is R3m (No. 160, hexagonal axes) and the conventional cell measures 4.1435, 4.1435 and 19.8430 Å, with angles of 90.00, 90.00 and 120.00 degrees. The asymmetric unit holds Ba at (0.0000, 0.0000, 0.0000), Ir at (0.0000, 0.0000, 0.8243), Se at (0.0000, 0.0000, 0.2171) and Se at (0.0000, 0.0000, 0.4411).

The raw formation energy comes out at -0.70 eV per atom. The value obtained for the energy above the most stable polymorph in this dataset is 0.139 eV per atom. For the density of states at the Fermi level, the calculation gives 0.991 states/eV per atom.